# Ta2CuNi | Alexandria | PBE | relaxed
data_Ta2CuNi
_cell_length_a 2.8349
_cell_length_b 4.6041
_cell_length_c 9.1483
_cell_angle_alpha 90.00
_cell_angle_beta 90.00
_cell_angle_gamma 90.00
_symmetry_space_group_name_H-M 'I m m 2'
_symmetry_Int_Tables_number 44
_symmetry_space_group_name_Hall 'I 2 -2'
loop_
_atom_site_label
_atom_site_fract_x
_atom_site_fract_y
_atom_site_fract_z
Ta1 0.0000 0.0000 0.0000
Ta2 0.0000 0.5000 0.2309
Cu1 0.0000 0.5000 0.7660
Ni1 0.0000 0.0000 0.4869
# * DFT formation energy: 0.2 eV/f.u.
# * calculated total energy: -66.86 eV per cell
# * V: 14.93 A^3/atom

***

# Tb3ScC | Alexandria | PBE | relaxed
data_Tb3ScC
_cell_length_a 5.0200
_cell_length_b 5.0200
_cell_length_c 5.0200
_cell_angle_alpha 90.00
_cell_angle_beta 90.00
_cell_angle_gamma 90.00
_symmetry_space_group_name_H-M 'P m -3 m'
_symmetry_Int_Tables_number 221
_symmetry_space_group_name_Hall '-P 4 2 3'
loop_
_atom_site_label
_atom_site_fract_x
_atom_site_fract_y
_atom_site_fract_z
Tb1 0.0000 0.0000 0.5000
Sc1 0.5000 0.5000 0.5000
C1 0.0000 0.0000 0.0000
# * DFT formation energy: 0.0 eV/f.u.
# * calculated total energy: -29.47 eV per cell
# * V: 25.30 A^3/atom

***

> What is the V in the second record?

25.30 A^3/atom

***

> Look up the V of the first one.

14.93 A^3/atom